Record 1
Density functional theory data (PBE) for BaZnSO after structural relaxation.

Cell and atoms, written as POSCAR:
```
BaZnSO
1.0
4.244 0.000 0.000
0.000 4.244 0.000
0.000 0.000 8.748
O S Ba Zn
2 2 2 2
direct
0.250 0.750 0.500
0.750 0.250 0.500
0.250 0.250 0.156
0.750 0.750 0.844
0.250 0.250 0.788
0.750 0.750 0.212
0.250 0.250 0.425
0.750 0.750 0.575
```

Record 2
Density functional theory data (PBE) for Dy2Hf after structural relaxation.

Cell and atoms, written as POSCAR:
```
Dy2Hf
1.0
4.604 2.658 7.519
-4.604 2.658 7.519
0.000 -5.317 7.519
Dy Hf
4 2
direct
0.500 0.000 0.000
0.000 0.000 0.500
0.000 0.000 0.000
0.000 0.500 0.000
0.875 0.875 0.875
0.125 0.125 0.125
```

Record 3
Density functional theory data (PBE) for NdCdPO after structural relaxation.

Cell and atoms, written as POSCAR:
```
NdCdPO
1.0
4.422 0.000 0.000
0.000 6.766 0.000
0.000 0.000 5.988
Cd Nd O P
2 2 2 2
direct
0.500 0.352 0.999
0.500 0.648 0.499
0.000 0.222 0.429
0.000 0.778 0.929
0.500 0.324 0.405
0.500 0.676 0.905
0.000 0.200 0.921
0.000 0.800 0.421
```

Record 4
Density functional theory data (PBE) for YAl3Cu after structural relaxation.

Cell and atoms, written as POSCAR:
```
YAl3Cu
1.0
-2.061 2.061 5.365
2.061 -2.061 5.365
2.061 2.061 -5.365
Al Cu Y
3 1 1
direct
0.760 0.260 0.500
0.260 0.760 0.500
0.419 0.419 0.000
0.638 0.638 0.000
0.013 0.013 0.000
```

Record 5
Density functional theory data (PBE) for BaDySc after structural relaxation.

Cell and atoms, written as POSCAR:
```
BaDySc
1.0
0.000 3.809 3.809
3.809 0.000 3.809
3.809 3.809 0.000
Dy Ba Sc
1 1 1
direct
0.250 0.250 0.250
0.000 0.000 0.000
0.750 0.750 0.750
```

Record 6
Density functional theory data (PBE) for NdDySn2Pt4 after structural relaxation.

Cell and atoms, written as POSCAR:
```
NdDySn2Pt4
1.0
-1.073 3.657 2.564
-0.468 -4.231 1.725
8.658 0.329 3.154
Dy Sn Nd Pt
1 2 1 4
direct
0.000 0.000 0.000
0.667 0.333 0.246
0.667 0.333 0.754
0.333 0.667 0.500
0.000 0.000 0.333
0.333 0.667 0.844
0.000 0.000 0.667
0.333 0.667 0.156
```

Record 7
Density functional theory data (PBE) for AlTeMo after structural relaxation.

Cell and atoms, written as POSCAR:
```
AlTeMo
1.0
0.000 3.191 3.191
3.191 0.000 3.191
3.191 3.191 0.000
Mo Al Te
1 1 1
direct
0.750 0.750 0.750
0.250 0.250 0.250
0.000 0.000 0.000
```

Record 8
Density functional theory data (PBE) for SmTlAsSe3 after structural relaxation.

Cell and atoms, written as POSCAR:
```
SmTlAsSe3
1.0
5.169 6.164 -1.126
-6.047 -4.655 -2.784
-6.896 6.526 4.068
Se As Tl Sm
6 2 2 2
direct
0.630 0.370 0.049
0.370 0.630 0.951
0.630 0.370 0.451
0.900 0.100 0.250
0.100 0.900 0.750
0.370 0.630 0.549
0.546 0.454 0.250
0.454 0.546 0.750
0.262 0.738 0.250
0.738 0.262 0.750
0.000 0.000 0.000
0.000 0.000 0.500
```

Record 9
Density functional theory data (PBE) for LiLuZr2 after structural relaxation.

Cell and atoms, written as POSCAR:
```
LiLuZr2
1.0
0.000 3.555 3.555
3.555 0.000 3.555
3.555 3.555 0.000
Zr Li Lu
2 1 1
direct
0.750 0.750 0.750
0.000 0.000 0.000
0.500 0.500 0.500
0.250 0.250 0.250
```

Record 10
Density functional theory data (PBE) for TaFeBPd after structural relaxation.

Cell and atoms, written as POSCAR:
```
TaFeBPd
1.0
0.000 2.958 2.958
2.958 0.000 2.958
2.958 2.958 0.000
Fe Ta B Pd
1 1 1 1
direct
0.750 0.750 0.750
0.500 0.500 0.500
0.000 0.000 0.000
0.250 0.250 0.250
```

Record 11
Density functional theory data (PBE) for TmAgGe after structural relaxation.

Cell and atoms, written as POSCAR:
```
TmAgGe
1.0
-4.810 -2.455 -4.815
7.085 -0.617 -1.327
0.026 -3.716 1.868
Tm Ag Ge
3 3 3
direct
0.405 0.405 0.500
0.595 0.000 0.500
0.000 0.595 0.500
0.667 0.333 0.000
0.000 0.000 0.500
0.333 0.667 0.000
0.000 0.265 0.000
0.265 0.000 0.000
0.735 0.735 0.000
```

Record 12
Density functional theory data (PBE) for LuCuSiHg after structural relaxation.

Cell and atoms, written as POSCAR:
```
LuCuSiHg
1.0
0.000 3.347 3.347
3.347 0.000 3.347
3.347 3.347 0.000
Si Hg Lu Cu
1 1 1 1
direct
0.000 0.000 0.000
0.500 0.500 0.500
0.250 0.250 0.250
0.750 0.750 0.750
```

| no. | energy (eV per formula unit) |
| --- | --- |
| 1 | -18.64 |
| 2 | -11.48 |
| 3 | -21.84 |
| 4 | -23.65 |
| 5 | -9.74 |
| 6 | -49.39 |
| 7 | -15.22 |
| 8 | -26.58 |
| 9 | -22.43 |
| 10 | -30.59 |
| 11 | -13.13 |
| 12 | -14.41 |